1.
Compound: BaCd2RuS
Source: Alexandria via LeMat-Bulk
Functional: PBE-GGA
Structure: relaxed

Structure (extended XYZ):
```
5
Lattice="5.116 0.000 0.000 0.000 5.880 0.000 0.000 0.000 5.116" Properties=species:S:1:pos:R:3 pbc="T T T"
Ru 2.558 2.940 2.558
S 0.000 0.000 0.000
Ba 0.000 2.940 0.000
Cd 0.000 0.000 2.558
Cd 2.558 0.000 0.000
```

Fermi-level density of states ... 5.11 states/eV/f.u.
ΔE_f (raw) ... 271 kJ/mol of formula units
E ... -14.3 eV for the cell shown

2.
Compound: BaCdSiRu2
Source: Alexandria via LeMat-Bulk
Functional: PBE-GGA
Structure: relaxed

Structure (extended XYZ):
```
5
Lattice="5.027 0.000 0.000 0.000 5.942 0.000 0.000 0.000 5.027" Properties=species:S:1:pos:R:3 pbc="T T T"
Ru 0.000 0.000 2.513
Ru 2.513 0.000 0.000
Si 2.513 2.971 2.513
Ba 0.000 0.000 0.000
Cd 0.000 2.971 0.000
```

Fermi-level density of states ... 6.90 states/eV/f.u.
ΔE_f (raw) ... 1125 kJ/mol of formula units
E ... -15.2 eV for the cell shown

| no. | mass density (kg/m³) |
| --- | --- |
| 1 | 5344 |
| 2 | 5308 |